Entry from Alexandria: a relaxed ZrHgIr4 crystal (PBE).

The uncorrected energy comes out at -7.58 eV per atom. The spin magnetization is 0.00 Bohr magnetons per cell.

The structure belongs to space group F-43m (No. 216); the cell edges are 7.439, 7.439 and 7.439 Å and the angles 90.00°, 90.00° and 90.00°. The distinct sites, in fractional coordinates, are Zr at (0.000, 0.000, 0.000), Hg at (0.250, 0.250, 0.750) and Ir at (0.125, 0.125, 0.375).

***

Entry from Alexandria: a relaxed Zr2HgIr crystal (PBE).

The uncorrected energy comes out at -6.73 eV per atom. The spin magnetization is 4.00 Bohr magnetons per cell.

The structure belongs to space group F-43m (No. 216); the cell edges are 6.743, 6.743 and 6.743 Å and the angles 90.00°, 90.00° and 90.00°. The distinct sites, in fractional coordinates, are Zr at (0.000, 0.000, 0.000), Zr at (0.250, 0.250, 0.250), Hg at (0.000, 0.000, 0.500) and Ir at (0.250, 0.250, 0.750).

***

Entry from Alexandria: a relaxed Zr2HgIr crystal (PBE).

The uncorrected energy comes out at -6.91 eV per atom. The spin magnetization is 0.00 Bohr magnetons per cell.

The structure belongs to space group C2/m (No. 12); the cell edges are 6.194, 7.987 and 3.158 Å and the angles 90.00°, 90.16° and 90.00°. The distinct sites, in fractional coordinates, are Zr at (0.250, 0.250, 0.000), Hg at (0.000, 0.000, 0.500) and Ir at (0.000, 0.500, 0.500).

***

Entry from Alexandria: a relaxed ZrHgIr crystal (PBE).

The uncorrected energy comes out at -5.77 eV per atom. The spin magnetization is 0.00 Bohr magnetons per cell.

The structure belongs to space group F-43m (No. 216); the cell edges are 6.472, 6.472 and 6.472 Å and the angles 90.00°, 90.00° and 90.00°. The distinct sites, in fractional coordinates, are Zr at (0.000, 0.000, 0.000), Hg at (0.250, 0.250, 0.750) and Ir at (0.250, 0.250, 0.250).